Record 1
24
Lattice="-6.181 1.554 1.716 -0.865 -6.414 2.692 4.896 4.883 13.209" Properties=species:S:1:pos:R:3 comment="Ga4AuSe7 | the Alexandria database | PBE-GGA | relaxed" formation_energy_uncorrected_mev_per_atom=-432.8 dos_at_fermi_per_ev_atom=0.221 magnetic_moment_mub_per_fu=0.0 spacegroup=Pmn2_1 pbc="T T T"
Se 0.213 -1.087 12.718
Se -4.745 1.545 5.168
Se -2.165 4.118 12.129
Se -0.002 1.489 9.713
Se -2.103 -3.397 6.469
Se -4.382 -0.951 8.058
Se -5.821 -2.256 4.840
Se -3.239 2.556 8.670
Se -2.135 -0.984 3.488
Se -3.119 -4.531 2.831
Se -1.077 0.416 6.812
Se 1.404 2.546 13.035
Se -3.025 0.403 11.720
Se -2.000 1.555 15.148
Ga 2.329 1.087 9.316
Ga 0.051 3.403 11.197
Ga 0.119 -4.070 5.520
Ga -3.507 -2.790 4.498
Ga 0.128 0.836 14.306
Ga 2.653 -1.542 12.356
Ga 1.069 -0.171 5.915
Ga -2.311 1.047 4.825
Au -4.179 -1.498 10.518
Au -2.939 -0.286 1.195

***

Record 2
5
Lattice="-5.885 1.540 0.709 -0.174 -3.098 5.281 1.637 4.908 2.933" Properties=species:S:1:pos:R:3 comment="RbAcSeBr2 | the Alexandria database | PBE-GGA | relaxed" formation_energy_uncorrected_mev_per_atom=-1751.7 dos_at_fermi_per_ev_atom=0.000 magnetic_moment_mub_per_fu=0.0 spacegroup=P4mm pbc="T T T"
Rb -2.209 1.682 4.466
Ac 0.001 0.002 0.001
Br -1.482 2.575 8.565
Br 1.548 3.354 5.570
Se 0.645 -0.643 6.748

***

Record 3
4
Lattice="3.060 0.000 0.000 0.000 3.060 0.000 0.000 0.000 9.439" Properties=species:S:1:pos:R:3 comment="CdReCl2 | the Alexandria database | PBE-GGA | relaxed" formation_energy_uncorrected_mev_per_atom=650.7 dos_at_fermi_per_ev_atom=0.890 magnetic_moment_mub_per_fu=1.7 spacegroup=P4/mmm pbc="T T T"
Re 1.530 1.530 2.360
Cl 0.000 0.000 0.830
Cl 0.000 0.000 3.889
Cd 1.530 1.530 7.079

***

Record 4
16
Lattice="-6.117 2.119 6.080 -6.859 -0.916 -6.581 5.386 -6.931 1.347" Properties=species:S:1:pos:R:3 comment="Rb4Ac3HfSe8 | the Alexandria database | PBE-GGA | relaxed" formation_energy_uncorrected_mev_per_atom=-1611.5 dos_at_fermi_per_ev_atom=0.291 magnetic_moment_mub_per_fu=0.0 spacegroup=R-3m pbc="T T T"
Rb -3.058 1.060 3.040
Rb 2.693 -3.466 0.674
Rb -0.366 -2.406 3.714
Rb 0.000 0.000 0.000
Se -6.787 1.262 2.803
Se -3.407 0.091 -0.557
Se -0.723 -3.320 0.430
Se -6.868 -2.408 0.416
Se -4.183 -5.819 1.404
Se -3.779 -3.161 -2.701
Se -0.803 -6.990 -1.956
Se -3.811 -2.568 3.547
Hf -3.430 -0.458 -3.291
Ac -0.737 -3.924 -2.617
Ac -3.795 -2.864 0.423
Ac -6.488 0.602 -0.250

***

Record 5
5
Lattice="4.999 0.000 0.000 0.000 4.999 0.000 0.000 0.000 5.447" Properties=species:S:1:pos:R:3 comment="SrHgS2Cl | the Alexandria database | PBE-GGA | relaxed" formation_energy_uncorrected_mev_per_atom=-692.7 dos_at_fermi_per_ev_atom=0.601 magnetic_moment_mub_per_fu=0.0 spacegroup=P4/mmm pbc="T T T"
S 0.000 2.500 0.000
S 2.500 0.000 0.000
Cl 0.000 0.000 2.723
Sr 2.500 2.500 2.723
Hg 0.000 0.000 0.000

***

Record 6
4
Lattice="-0.628 -3.303 0.236 1.796 -0.541 -2.800 6.215 -0.884 4.159" Properties=species:S:1:pos:R:3 comment="ZrFePb2 | the Alexandria database | PBE-GGA | relaxed" delta_e_f_mev_per_atom=331 dos_at_fermi_per_ev_atom=0.911 magnetic_moment_mub_per_fu=1.9 spacegroup=P4/mmm pbc="T T T"
Zr 2.138 -2.143 -0.242
Fe 5.246 -2.585 1.837
Pb 6.021 -0.856 4.028
Pb 3.302 -0.469 2.209

***

Record 7
10
Lattice="-4.316 -4.582 -2.597 4.644 -1.726 -4.671 1.666 -3.174 2.829" Properties=species:S:1:pos:R:3 comment="Ga2As2Au | the Alexandria database | PBE-GGA | relaxed" delta_e_f_mev_per_atom=152 dos_at_fermi_per_ev_atom=0.567 magnetic_moment_mub_per_fu=0.0 spacegroup=P4/mbm pbc="T T T"
As 3.196 -3.237 -1.827
As -0.208 -3.522 -0.143
As 2.201 -5.960 -4.297
As -1.202 -6.245 -2.612
Ga -0.580 -4.994 -5.260
Ga -2.106 -3.286 -2.446
Ga 0.908 -1.314 -2.008
Ga 2.434 -3.021 -4.823
Au 0.164 -3.154 -3.634
Au 0.000 0.000 0.000

***

Record 8
32
Lattice="-7.154 -4.104 -2.625 4.661 -10.863 4.282 -3.258 1.301 6.847" Properties=species:S:1:pos:R:3 comment="SbIr | the Alexandria database | PBE-GGA | relaxed" formation_energy_uncorrected_mev_per_atom=122.4 dos_at_fermi_per_ev_atom=0.335 magnetic_moment_mub_per_fu=0.0 spacegroup=Fddd pbc="T T T"
Sb -6.977 -2.418 1.462
Sb -3.436 -0.386 2.761
Sb -4.838 -3.782 4.900
Sb -6.786 -6.485 0.164
Sb -0.878 -9.864 3.617
Sb 2.663 -7.833 4.916
Sb -1.771 -1.016 -0.650
Sb -6.084 -11.266 5.728
Sb -3.244 -4.453 1.463
Sb -3.017 -8.499 0.179
Sb -2.543 -9.234 7.028
Sb -4.682 -7.870 3.589
Sb -1.069 -5.797 4.915
Sb -5.384 -3.088 -1.975
Sb -1.297 -1.751 6.199
Sb 0.524 -6.468 1.478
Ir -7.182 -3.565 3.743
Ir -1.976 -2.163 1.632
Ir -1.091 -0.604 3.918
Ir -6.106 -6.072 4.731
Ir -2.338 -8.087 4.746
Ir 0.546 -11.662 2.475
Ir 2.869 -6.686 2.635
Ir -1.275 -6.944 7.196
Ir -0.900 -4.671 2.620
Ir -3.039 -3.306 -0.818
Ir -0.199 -9.452 8.185
Ir -2.147 -12.154 3.449
Ir 2.494 -8.959 7.211
Ir 1.793 -4.178 1.647
Ir -3.414 -5.580 3.758
Ir -3.223 -9.647 2.460